First-principles (PBE) data for a geometry-optimized Y3ErPb2N2 structure, as listed in the Open Quantum Materials Database.

raw total energy = -7.1101 eV per atom
SG = P3m1, No. 156

```
Y3ErPb2N2
1.0
3.548 0.000 0.000
-1.774 3.072 0.000
0.000 0.000 15.561
Pb N Y Er
2 2 3 1
direct
0.000 0.000 0.750
0.333 0.667 0.248
0.667 0.333 0.003
0.667 0.333 0.500
0.000 0.000 0.416
0.333 0.667 0.917
0.333 0.667 0.584
0.000 0.000 0.083
```